Record 1
VASP calculation (GGA-PBE) on an optimized crystal structure of FeAgPb2.

## Properties
* energy relative to the lowest polymorph listed for this composition: 75.2 meV/atom
* total magnetic moment: 2.379 μB per formula unit
* formation energy: 431 meV/atom
* E_tot: -17.007 eV/cell
* DOS(E_F): 4.139 states/eV/f.u.
* mass density: 10.88 g/cm3

Structure (POSCAR):
```
FeAgPb2
1.0
3.5173 0.0000 0.0000
0.0000 3.4237 0.0000
-0.0515 0.0000 7.3281
Fe Ag Pb
1 1 2
Cartesian
0.0000 0.0000 0.0000
-0.0257 0.0000 3.6640
1.7445 1.7119 1.6523
1.7213 1.7119 5.6758
```

=====

Record 2
VASP calculation (GGA-PBE) on an optimized crystal structure of FeAgPb2.

## Properties
* energy relative to the lowest polymorph listed for this composition: 56.7 meV/atom
* total magnetic moment: 2.506 μB per formula unit
* formation energy: 412 meV/atom
* E_tot: -51.243 eV/cell
* DOS(E_F): 2.559 states/eV/f.u.
* mass density: 10.76 g/cm3

Structure (POSCAR):
```
FeAgPb2
1.0
3.3526 0.0000 0.0000
-1.6763 2.9034 0.0000
0.0000 0.0000 27.4897
Fe Ag Pb
3 3 6
Cartesian
0.0000 0.0000 0.0000
0.0000 1.9356 18.3265
1.6763 0.9678 9.1632
0.0000 0.0000 13.7449
0.0000 1.9356 4.5816
1.6763 0.9678 22.9081
0.0000 0.0000 7.0424
0.0000 0.0000 20.4474
0.0000 1.9356 11.2841
0.0000 1.9356 25.3689
1.6763 0.9678 2.1209
1.6763 0.9678 16.2056
```

=====

Record 3
VASP calculation (GGA-PBE) on an optimized crystal structure of FeAgPb2.

## Properties
* energy relative to the lowest polymorph listed for this composition: 130.1 meV/atom
* total magnetic moment: 2.847 μB per formula unit
* formation energy: 486 meV/atom
* E_tot: -33.575 eV/cell
* DOS(E_F): 2.952 states/eV/f.u.
* mass density: 10.74 g/cm3

Structure (POSCAR):
```
FeAgPb2
1.0
4.2298 0.0000 0.0000
0.0000 4.2298 0.0000
0.0000 0.0000 9.9955
Fe Ag Pb
2 2 4
Cartesian
0.0000 0.0000 0.0000
2.1149 2.1149 4.9977
0.0000 2.1149 2.4989
2.1149 0.0000 7.4966
0.0000 0.0000 4.9977
0.0000 2.1149 7.4966
2.1149 0.0000 2.4989
2.1149 2.1149 0.0000
```

=====

Record 4
VASP calculation (GGA-PBE) on an optimized crystal structure of FeAgPb2.

## Properties
* energy relative to the lowest polymorph listed for this composition: 0.7 meV/atom
* total magnetic moment: 2.712 μB per formula unit
* formation energy: 356 meV/atom
* E_tot: -17.305 eV/cell
* DOS(E_F): 3.084 states/eV/f.u.
* mass density: 10.72 g/cm3

Structure (POSCAR):
```
FeAgPb2
1.0
3.7493 0.0000 0.0000
0.0000 4.4120 0.0000
-1.8701 0.0000 5.4116
Fe Ag Pb
1 1 2
Cartesian
0.0000 0.0000 0.0000
1.8828 2.2060 3.7613
0.0097 0.0000 2.9484
1.8736 2.2060 0.7010
```

=====

Record 5
VASP calculation (GGA-PBE) on an optimized crystal structure of FeAg2Pb.

## Properties
* total magnetic moment: 2.823 μB per formula unit
* formation energy: 423 meV/atom
* E_tot: -32.365 eV/cell
* DOS(E_F): 4.275 states/eV/f.u.
* mass density: 10.44 g/cm3

Structure (POSCAR):
```
FeAg2Pb
1.0
4.1051 0.0000 0.0000
0.0000 4.1051 0.0000
0.0000 0.0000 9.0355
Fe Ag Pb
2 4 2
Cartesian
0.0000 0.0000 0.0000
2.0525 2.0525 4.5178
0.0000 2.0525 2.2589
0.0000 2.0525 6.7767
2.0525 0.0000 2.2589
2.0525 0.0000 6.7767
0.0000 0.0000 4.5178
2.0525 2.0525 0.0000
```

=====

Record 6
VASP calculation (GGA-PBE) on an optimized crystal structure of FeAg2Pb.

## Properties
* total magnetic moment: 2.723 μB per formula unit
* formation energy: 458 meV/atom
* E_tot: -32.086 eV/cell
* DOS(E_F): 3.608 states/eV/f.u.
* mass density: 10.29 g/cm3

Structure (POSCAR):
```
FeAg2Pb
1.0
3.3569 0.0000 0.0000
0.0000 4.8406 0.0000
0.0000 0.0000 9.5109
Fe Ag Pb
2 4 2
Cartesian
0.0000 0.0000 0.0000
1.6784 2.4203 4.7555
0.0000 0.0000 4.6443
0.0000 2.4203 6.9055
1.6784 0.0000 2.1500
1.6784 2.4203 9.3998
0.0000 2.4203 2.4853
1.6784 0.0000 7.2408
```

=====

Record 7
VASP calculation (GGA-PBE) on an optimized crystal structure of FeAg2PbS.

## Properties
* total magnetic moment: 2.948 μB per formula unit
* formation energy from raw total energies: 0.741 eV/atom
* E_tot: -18.295 eV/cell
* DOS(E_F): 4.916 states/eV/f.u.
* mass density: 6.54 g/cm3

Structure (POSCAR):
```
FeAg2PbS
1.0
4.6520 0.0000 0.0000
0.0000 4.6520 0.0000
0.0000 0.0000 5.9921
Fe Ag Pb S
1 2 1 1
Cartesian
0.0000 0.0000 0.0000
0.0000 2.3260 2.9961
2.3260 0.0000 2.9961
2.3260 2.3260 0.0000
2.3260 2.3260 2.9961
```

=====

Record 8
VASP calculation (GGA-PBE) on an optimized crystal structure of FeAg2PbSe.

## Properties
* total magnetic moment: 4.260 μB per formula unit
* formation energy from raw total energies: 1.216 eV/atom
* E_tot: -15.276 eV/cell
* DOS(E_F): 5.538 states/eV/f.u.
* mass density: 5.90 g/cm3

Structure (POSCAR):
```
FeAg2PbSe
1.0
5.2819 0.0000 0.0000
0.0000 5.2819 0.0000
0.0000 0.0000 5.6234
Fe Ag Pb Se
1 2 1 1
Cartesian
0.0000 0.0000 0.0000
0.0000 2.6409 2.8117
2.6409 0.0000 2.8117
2.6409 2.6409 2.8117
2.6409 2.6409 0.0000
```

=====

Record 9
VASP calculation (GGA-PBE) on an optimized crystal structure of FeSiAg2Pb.

## Properties
* total magnetic moment: 2.041 μB per formula unit
* formation energy from raw total energies: 0.523 eV/atom
* E_tot: -20.679 eV/cell
* DOS(E_F): 2.795 states/eV/f.u.
* mass density: 7.70 g/cm3

Structure (POSCAR):
```
FeSiAg2Pb
1.0
4.9975 0.0000 0.0000
0.0000 4.9975 0.0000
0.0000 0.0000 4.3791
Fe Si Ag Pb
1 1 2 1
Cartesian
0.0000 0.0000 0.0000
0.0000 0.0000 2.1896
0.0000 2.4987 0.0000
2.4987 0.0000 0.0000
2.4987 2.4987 2.1896
```

=====

Record 10
VASP calculation (GGA-PBE) on an optimized crystal structure of FeAg2SnPb.

## Properties
* total magnetic moment: 2.661 μB per formula unit
* formation energy: 955 meV/atom
* E_tot: -17.103 eV/cell
* DOS(E_F): 5.689 states/eV/f.u.
* mass density: 7.07 g/cm3

Structure (POSCAR):
```
FeAg2SnPb
1.0
5.2702 0.0000 0.0000
0.0000 5.2702 0.0000
0.0000 0.0000 5.0536
Fe Ag Sn Pb
1 2 1 1
Cartesian
0.0000 0.0000 0.0000
0.0000 2.6351 2.5268
2.6351 0.0000 2.5268
2.6351 2.6351 0.0000
0.0000 0.0000 2.5268
```

=====

Record 11
VASP calculation (GGA-PBE) on an optimized crystal structure of Fe2AgPd2.

## Properties
* energy relative to the lowest polymorph listed for this composition: 6.3 meV/atom
* total magnetic moment: 6.771 μB per formula unit
* formation energy: 111 meV/atom
* E_tot: -59.219 eV/cell
* DOS(E_F): 4.456 states/eV/f.u.
* mass density: 9.37 g/cm3

Structure (POSCAR):
```
Fe2AgPd2
1.0
7.4675 0.0000 0.0000
0.0000 7.4675 0.0000
0.0000 0.0000 2.7483
Fe Ag Pd
4 2 4
Cartesian
1.2141 2.5196 0.0000
2.5196 6.2534 0.0000
4.9478 1.2141 0.0000
6.2534 4.9478 0.0000
0.0000 0.0000 1.3742
3.7337 3.7337 1.3742
0.9951 4.7288 1.3742
2.7387 0.9951 1.3742
4.7288 6.4724 1.3742
6.4724 2.7387 1.3742
```

=====

Record 12
VASP calculation (GGA-PBE) on an optimized crystal structure of FeAgPd3.

## Properties
* energy relative to the lowest polymorph listed for this composition: 640.1 meV/atom
* total magnetic moment: 4.335 μB per formula unit
* formation energy: 671 meV/atom
* E_tot: -23.537 eV/cell
* DOS(E_F): 3.123 states/eV/f.u.
* mass density: 8.18 g/cm3

Structure (POSCAR):
```
FeAgPd3
1.0
4.6111 0.0000 0.0000
0.0000 4.6111 0.0000
0.0000 0.0000 4.6111
Fe Ag Pd
1 1 3
Cartesian
0.0000 0.0000 0.0000
2.3055 2.3055 2.3055
0.0000 0.0000 2.3055
0.0000 2.3055 0.0000
2.3055 0.0000 0.0000
```

=====

Question: Number 5 is which compound?
Answer: FeAg2Pb

=====

Question: Which of these has the highest E_tot?
Answer: FeAg2PbSe

=====

Question: Look up the total magnetic moment of the fourth one.
Answer: 2.712 μB per formula unit